A plane-wave DFT calculation with GGA+U was carried out for an optimized crystal structure of Mg2FeWO6.

Cell: 5.2270 5.3355 7.8959 Å, 90.00 89.83 89.98°
Sites, in units of the cell vectors:
Mg 0.0008 0.0390 0.2733
Mg 0.4988 0.5388 0.2267
Mg 0.9992 0.9611 0.7268
Mg 0.5012 0.4612 0.7733
Fe 0.0000 0.5000 0.5001
Fe 0.5000 0.0000 0.9999
W 0.0000 0.5000 0.0000
W 0.5000 0.0000 0.5000
O 0.6594 0.2974 0.4022
O 0.8406 0.7977 0.0976
O 0.3407 0.7025 0.5978
O 0.1594 0.2024 0.9024
O 0.1803 0.1745 0.5445
O 0.3197 0.6745 0.9556
O 0.8197 0.8254 0.4555
O 0.6802 0.3255 0.0444
O 0.1289 0.4006 0.2243
O 0.3709 0.9005 0.2757
O 0.6291 0.0995 0.7243
O 0.8711 0.5994 0.7756

The distance to the lowest polymorph of the same formula comes out at 33 meV/atom. The calculation puts the total energy at -6.750 eV per atom. The symmetry is P2_1/c, No. 14.